No. 1
Material: NiSb2W
Method: DFT, PBE
State: relaxed

Cell: 8.557 3.309 5.352 Å, 90.00 100.58 90.00°
Space group C2/m (No. 12)
Asymmetric unit:
1 Ni 0.000 0.000 0.000 x2
2 Sb 0.243 0.000 0.747 x4
3 W 0.000 0.500 0.500 x2

- E (eV/cell) = -49.747
- energy above the lowest structure with this stoichiometry (kcal/mol of atoms) = 7.85

No. 2
Material: NiSb4W
Method: DFT, PBE
State: relaxed

Cell: 8.451 8.451 8.451 Å, 90.00 90.00 90.00°
Space group F-43m (No. 216)
Asymmetric unit:
1 Ni 0.000 0.000 0.000 x4
2 Sb 0.125 0.125 0.625 x16
3 W 0.250 0.250 0.250 x4

- E (eV/cell) = -107.119

No. 3
Material: NiSbW4
Method: DFT, PBE
State: relaxed

Cell: 7.508 7.508 7.508 Å, 90.00 90.00 90.00°
Space group F-43m (No. 216)
Asymmetric unit:
1 Ni 0.000 0.000 0.000 x4
2 Sb 0.250 0.250 0.250 x4
3 W 0.126 0.126 0.626 x16

- E (eV/cell) = -227.766

No. 4
Material: ZnNi2SbW
Method: DFT, PBE
State: relaxed

Cell: 4.543 4.543 5.046 Å, 90.00 90.00 90.00°
Space group P4/mmm (No. 123)
Asymmetric unit:
1 Zn 0.000 0.000 0.000 x1
2 Ni 0.000 0.500 0.500 x2
3 Sb 0.500 0.500 0.500 x1
4 W 0.500 0.500 0.000 x1

- E (eV/cell) = -22.966

No. 5
Material: YNiSb4
Method: DFT, PBE
State: relaxed

Cell: 8.633 8.633 8.633 Å, 90.00 90.00 90.00°
Space group F-43m (No. 216)
Asymmetric unit:
1 Y 0.000 0.000 0.000 x4
2 Ni 0.250 0.250 0.750 x4
3 Sb 0.124 0.124 0.376 x16

- E (eV/cell) = -107.440

No. 6
Material: YNiSb3
Method: DFT, PBE
State: relaxed

Cell: 5.046 5.046 5.046 Å, 90.00 90.00 90.00°
Space group Pm-3m (No. 221)
Asymmetric unit:
1 Y 0.000 0.000 0.000 x1
2 Ni 0.500 0.500 0.500 x1
3 Sb 0.000 0.500 0.500 x3

- E (eV/cell) = -25.096
- energy above the lowest structure with this stoichiometry (kcal/mol of atoms) = 0.00

No. 7
Material: Y2NiSb
Method: DFT, PBE
State: relaxed

Cell: 7.726 7.726 6.764 Å, 90.00 90.00 90.00°
Space group I-42d (No. 122)
Asymmetric unit:
1 Y 0.205 0.750 0.125 x8
2 Ni 0.000 0.000 0.000 x4
3 Sb 0.000 0.000 0.500 x4

- E (eV/cell) = -97.183
- energy above the lowest structure with this stoichiometry (kcal/mol of atoms) = 8.40

No. 8
Material: Y12Ni6Sb
Method: DFT, PBE
State: relaxed

Cell: 9.763 9.763 9.763 Å, 90.00 90.00 90.00°
Space group Im-3 (No. 204)
Asymmetric unit:
1 Y 0.000 0.305 0.188 x24
2 Ni 0.000 0.123 0.500 x12
3 Sb 0.000 0.000 0.000 x2

- E (eV/cell) = -248.612

No. 9
Material: YNi5Sb
Method: DFT, PBE
State: relaxed

Cell: 8.020 4.946 10.156 Å, 90.00 90.00 90.00°
Space group Pnma (No. 62)
Asymmetric unit:
1 Y 0.248 0.250 0.058 x4
2 Ni 0.062 0.250 0.596 x4
3 Ni 0.067 0.501 0.808 x8
4 Ni 0.088 0.750 0.019 x4
5 Ni 0.183 0.750 0.251 x4
6 Sb 0.145 0.250 0.357 x4

- E (eV/cell) = -168.108

No. 10
Material: YNi4Sb2
Method: DFT, PBE
State: relaxed

Cell: 7.536 7.536 4.054 Å, 90.00 90.00 90.00°
Space group P4_2/mnm (No. 136)
Asymmetric unit:
1 Y 0.000 0.000 0.000 x2
2 Ni 0.093 0.362 0.500 x8
3 Sb 0.217 0.783 0.500 x4

- E (eV/cell) = -81.591

No. 11
Material: Y2NiSb
Method: DFT, PBE
State: relaxed

Cell: 4.226 4.226 10.525 Å, 90.00 90.00 90.00°
Space group I-4m2 (No. 119)
Asymmetric unit:
1 Y 0.000 0.000 0.000 x2
2 Y 0.000 0.500 0.250 x2
3 Ni 0.000 0.500 0.750 x2
4 Sb 0.000 0.000 0.500 x2

- E (eV/cell) = -49.566
- energy above the lowest structure with this stoichiometry (kcal/mol of atoms) = 5.59

No. 12
Material: Y2NiSb
Method: DFT, PBE
State: relaxed

Cell: 3.436 3.436 8.174 Å, 90.00 90.00 90.00°
Space group P4mm (No. 99)
Asymmetric unit:
1 Y 0.000 0.000 0.000 x1
2 Y 0.500 0.500 0.352 x1
3 Ni 0.000 0.000 0.564 x1
4 Sb 0.500 0.500 0.731 x1

- E (eV/cell) = -23.925
- energy above the lowest structure with this stoichiometry (kcal/mol of atoms) = 10.53

- Which formula does entry 12 have?
  Y2NiSb